## CaNi (GGA-PBE)

Data for crystalline CaNi at its relaxed geometry.

Results
- SG = No. 223

Cell: 7.6682 7.6682 7.6682 Å, 90.00 90.00 90.00°
Each line ends with the local moment (μB).
Atoms (fractional coordinates):
Ca: 0.2500 0.0000 0.5000  -0.01
Ca: 0.7500 0.0000 0.5000  -0.01
Ca: 0.0000 0.5000 0.2500  -0.01
Ca: 0.0000 0.5000 0.7500  -0.01
Ca: 0.5000 0.2500 0.0000  -0.01
Ca: 0.5000 0.7500 0.0000  -0.01
Ni: 0.2500 0.5000 0.0000  0.15
Ni: 0.7500 0.5000 0.0000  0.15
Ni: 0.5000 0.0000 0.2500  0.15
Ni: 0.5000 0.0000 0.7500  0.15
Ni: 0.0000 0.2500 0.5000  0.15
Ni: 0.0000 0.7500 0.5000  0.15

---

## CaNi (GGA-PBE)

Data for crystalline CaNi at its relaxed geometry.

Results
- SG = No. 71
- DOS(E_F) (states/eV per cell) = 8.58

Cell: 3.8168 4.3297 15.2447 Å, 90.00 90.00 90.00°
Atoms (fractional coordinates):
Ca: 0.5000 0.0000 0.1797
Ca: 0.5000 0.0000 0.8203
Ca: 0.0000 0.5000 0.6797
Ca: 0.0000 0.5000 0.3203
Ca: 0.0000 0.0000 0.0000
Ca: 0.5000 0.5000 0.5000
Ni: 0.5000 0.0000 0.3883
Ni: 0.5000 0.0000 0.6117
Ni: 0.0000 0.5000 0.8883
Ni: 0.0000 0.5000 0.1117
Ni: 0.5000 0.5000 0.0000
Ni: 0.0000 0.0000 0.5000

---

Number 1: ΔH_f (0 K) 0.81 eV per atom. Number 2: ΔH_f (0 K) 0.00 eV per atom.